First-principles (PBE-GGA) data for a geometry-optimized Ce2NbRhN5 structure, as listed in the Alexandria database.

formation energy from raw total energies = -8.18 eV/f.u.
DOS(E_F) = 2.37 states/eV/f.u.

a = 3.267 Å, b = 6.758 Å, c = 10.528 Å
α = 90.00°, β = 90.00°, γ = 103.99°
Element x y z (fractional)
Nb 0.205 0.411 0.013
Nb 0.795 0.589 0.513
N 0.945 0.889 0.576
N 0.320 0.640 0.374
N 0.514 0.028 0.272
N 0.635 0.271 0.494
N 0.055 0.111 0.076
N 0.365 0.729 0.994
N 0.486 0.972 0.772
N 0.278 0.556 0.651
N 0.680 0.360 0.874
N 0.722 0.444 0.151
Ce 0.855 0.710 0.803
Ce 0.145 0.290 0.303
Ce 0.897 0.793 0.186
Ce 0.103 0.207 0.686
Rh 0.526 0.053 0.956
Rh 0.474 0.947 0.456